{
  "formula": "CaTc2Se",
  "functional": "GGA-PBE",
  "state": "relaxed",
  "lattice_angstrom": [[-2.8936, -3.1798, 2.5586], [0.9078, -2.5538, -2.1472], [3.4735, -1.1763, 2.4665]],
  "species": ["Tc", "Se", "Ca", "Tc"],
  "fractional_positions": [[0.0000, 0.9017, 0.9932], [0.5000, 0.7500, 0.7500], [0.5000, 0.2500, 0.2500], [0.0000, 0.5983, 0.5068]],
  "crystal_system": "monoclinic",
  "energy_ry_per_atom": -0.467,
  "e_form_raw_ev_per_atom": 0.2013,
  "dos_ef_per_ev_atom": 0.802
}